Compound: Sr2TaVO6
Source: Alexandria via LeMat-Bulk
Functional: PBEsol
Structure: optimized geometry

Cell: 5.5712 5.5714 5.5712 Å, 60.00 90.00 120.00°
Positions (direct):
1 Sr 0.7500 0.5000 0.7500
2 Sr 0.2500 0.5000 0.2500
3 Ta 0.5000 0.0000 0.5000
4 V 0.0000 0.0000 0.0000
5 O 0.2485 0.0000 0.2485
6 O 0.7515 0.0000 0.7515
7 O 0.2485 0.4969 0.7515
8 O 0.7515 0.5031 0.2485
9 O 0.2485 0.0000 0.7515
10 O 0.7515 0.0000 0.2485

Calculated values
formation energy from raw total energies: -2.9328 eV/atom
spin magnetization: 1.86 μB/cell
symmetry: No. 225

Compound: SrBe2Mo
Source: Alexandria via LeMat-Bulk
Functional: PBEsol
Structure: optimized geometry

Cell: 2.6811 4.9544 5.5117 Å, 116.71 104.08 90.00°
Positions (direct):
1 Sr 0.2584 0.7584 0.5168
2 Mo 0.4617 0.4617 0.9234
3 Be 0.0417 0.0417 0.0834
4 Be 0.7382 0.2382 0.4764

Calculated values
spin magnetization: 0.00 μB/cell
ΔE_f: 0.823 eV per atom
excess energy over the best structure of this formula in the dataset: 163 meV/atom
symmetry: No. 44

Compound: Ba2HgSb
Source: Alexandria via LeMat-Bulk
Functional: PBEsol
Structure: optimized geometry

Cell: 5.8483 5.8483 5.8483 Å, 60.00 60.00 60.00°
Positions (direct):
1 Sb 0.5000 0.5000 0.5000
2 Hg 0.0000 0.0000 0.0000
3 Ba 0.7500 0.7500 0.7500
4 Ba 0.2500 0.2500 0.2500

Calculated values
formation energy from raw total energies: -0.7955 eV/atom
spin magnetization: 0.00 μB/cell
excess energy over the best structure of this formula in the dataset: 23 meV/atom
symmetry: No. 225

Compound: ZnTePb
Source: Alexandria via LeMat-Bulk
Functional: PBEsol
Structure: optimized geometry

Cell: 5.1229 5.1229 5.1229 Å, 60.00 60.00 60.00°
Positions (direct):
1 Pb 0.5000 0.5000 0.5000
2 Te 0.2500 0.2500 0.2500
3 Zn 0.0000 0.0000 0.0000

Calculated values
formation energy from raw total energies: 0.2154 eV/atom
spin magnetization: 0.00 μB/cell
excess energy over the best structure of this formula in the dataset: 52 meV/atom
symmetry: No. 216

Compound: LiCr2Ru
Source: Alexandria via LeMat-Bulk
Functional: PBEsol
Structure: optimized geometry

Cell: 2.5755 2.5755 9.0396 Å, 81.81 81.81 60.00°
Positions (direct):
1 Cr 0.2448 0.2448 0.2658
2 Cr 0.7552 0.7552 0.7342
3 Li 0.0000 0.0000 0.0000
4 Ru 0.5000 0.5000 0.5000

Calculated values
spin magnetization: 0.00 μB/cell
ΔE_f: 0.415 eV per atom
symmetry: No. 166

Compound: GaRe2Tc
Source: Alexandria via LeMat-Bulk
Functional: PBEsol
Structure: optimized geometry

Cell: 4.3243 4.3243 4.3243 Å, 60.00 60.00 60.00°
Positions (direct):
1 Re 0.2500 0.2500 0.2500
2 Re 0.7500 0.7500 0.7500
3 Tc 0.5000 0.5000 0.5000
4 Ga 0.0000 0.0000 0.0000

Calculated values
spin magnetization: 0.00 μB/cell
ΔE_f: 0.250 eV per atom
symmetry: No. 225

Compound: Tl4Si5O12
Source: Alexandria via LeMat-Bulk
Functional: PBEsol
Structure: optimized geometry

Cell: 7.4605 7.4605 12.9930 Å, 92.56 92.56 103.34°
Positions (direct):
1 Tl 0.1266 0.0713 0.3750
2 Tl 0.9287 0.8734 0.1250
3 Tl 0.8734 0.9287 0.6250
4 Tl 0.0713 0.1266 0.8750
5 Tl 0.6343 0.0298 0.3685
6 Tl 0.9702 0.3657 0.1315
7 Tl 0.3657 0.9702 0.6315
8 Tl 0.0298 0.6343 0.8685
9 Si 0.2500 0.6444 0.4189
10 Si 0.3556 0.7500 0.0811
11 Si 0.7500 0.3556 0.5811
12 Si 0.6444 0.2500 0.9189
13 Si 0.1613 0.3848 0.6060
14 Si 0.6152 0.8387 0.8940
15 Si 0.8387 0.6152 0.3940
16 Si 0.3848 0.1613 0.1060
17 Si 0.4928 0.5072 0.2500
18 Si 0.5072 0.4928 0.7500
19 O 0.3743 0.5417 0.3468
20 O 0.4583 0.6257 0.1532
21 O 0.6257 0.4583 0.6532
22 O 0.5417 0.3743 0.8468
23 O 0.7115 0.5661 0.2849
24 O 0.4339 0.2885 0.2151
25 O 0.2885 0.4339 0.7151
26 O 0.5661 0.7115 0.7849
27 O 0.3311 0.8639 0.4359
28 O 0.1361 0.6689 0.0641
29 O 0.6689 0.1361 0.5641
30 O 0.8639 0.3311 0.9359
31 O 0.2430 0.5502 0.5303
32 O 0.4498 0.7570 0.9697
33 O 0.7570 0.4498 0.4697
34 O 0.5502 0.2430 0.0303
35 O 0.0428 0.5922 0.3608
36 O 0.4078 0.9572 0.1392
37 O 0.9572 0.4078 0.6392
38 O 0.5922 0.0428 0.8608
39 O 0.1534 0.1802 0.5584
40 O 0.8198 0.8466 0.9416
41 O 0.8466 0.8198 0.4416
42 O 0.1802 0.1534 0.0584

Calculated values
formation energy from raw total energies: -2.2218 eV/atom
spin magnetization: 0.00 μB/cell
symmetry: No. 15

Compound: KLi2Be
Source: Alexandria via LeMat-Bulk
Functional: PBEsol
Structure: optimized geometry

Cell: 3.3492 3.3492 8.2153 Å, 90.00 90.00 90.00°
Positions (direct):
1 Be 0.5000 0.5000 0.0000
2 K 0.5000 0.5000 0.5000
3 Li 0.0000 0.0000 0.8491
4 Li 0.0000 0.0000 0.1509

Calculated values
spin magnetization: 0.00 μB/cell
ΔE_f: 0.431 eV per atom
symmetry: No. 123